Record 1
Crystalline LaPr4Ir2 at its relaxed geometry. Source: the Alexandria database, functional GGA-PBE.

Its magnetic moment is 0.0000 μB/atom. Its formation energy is -0.37 eV/atom. As for the total energy: -6.34 eV per atom. The volume is 206.2 Å³/f.u. The calculated density comes out at 8.76 g/cm3.

The structure belongs to space group P2_1/m (No. 11); the cell edges are 8.116, 6.791 and 8.180 Å and the angles 90.00°, 113.86° and 90.00°. The inequivalent atoms are La at (0.153, 0.250, 0.031), Pr at (0.011, 0.250, 0.380), Pr at (0.254, 0.750, 0.339), Pr at (0.411, 0.007, 0.761), Ir at (0.258, 0.750, 0.990) and Ir at (0.367, 0.250, 0.394).

=====

Record 2
Crystalline La5PrIr4 at its relaxed geometry. Source: the Alexandria database, functional GGA-PBE.

Its magnetic moment is 0.0000 μB/atom. Its formation energy is -0.63 eV/atom. As for the total energy: -7.12 eV per atom. The volume is 293.6 Å³/f.u. The calculated density comes out at 9.07 g/cm3.

The structure belongs to space group C2/m (No. 12); the cell edges are 18.909, 4.369 and 7.798 Å and the angles 90.00°, 114.27° and 90.00°. The inequivalent atoms are La at (0.000, 0.000, 0.000), La at (0.164, 0.500, 0.425), La at (0.164, 0.500, 0.904), Pr at (0.000, 0.000, 0.500), Ir at (0.000, 0.500, 0.238) and Ir at (0.196, 0.000, 0.696).

=====

Record 3
Crystalline LaPr4Ir3 at its relaxed geometry. Source: the Alexandria database, functional GGA-PBE.

Its magnetic moment is 0.0000 μB/atom. Its formation energy is -0.55 eV/atom. As for the total energy: -6.88 eV per atom. The volume is 248.5 Å³/f.u. The calculated density comes out at 8.55 g/cm3.

The structure belongs to space group Cc (No. 9); the cell edges are 13.790, 7.323 and 10.681 Å and the angles 90.00°, 112.86° and 90.00°. The inequivalent atoms are La at (0.000, 0.179, 0.000), Pr at (0.102, 0.338, 0.689), Pr at (0.195, 0.168, 0.401), Pr at (0.291, 0.335, 0.114), Pr at (0.390, 0.178, 0.801), Ir at (0.091, 0.497, 0.934), Ir at (0.193, 0.001, 0.150) and Ir at (0.303, 0.498, 0.370).